# Mg2TcW

A relaxed Mg2TcW crystal (GGA-PBE, Alexandria).

Properties
formation enthalpy at 0 K: 1.17 eV per formula unit
total energy: -6.335 eV per atom
offset from the most stable computed form: 0.71 eV/f.u.
magnetization: 0.0 μB/cell
D(E_F): 4.6 states/eV/cell

abc: 3.298 4.273 9.346
angles: 90.00 90.00 90.00
Space group Immm (No. 71)
Asymmetric unit:
Mg 0.000 0.000 0.243 [4 per cell]
Tc 0.000 0.500 0.500 [2 per cell]
W 0.000 0.500 0.000 [2 per cell]

---

# Mg2TcW

A relaxed Mg2TcW crystal (GGA-PBE, Alexandria).

Properties
formation enthalpy at 0 K: 3.48 eV per formula unit
total energy: -5.756 eV per atom
offset from the most stable computed form: 3.02 eV/f.u.
magnetization: 7.3 μB/cell
D(E_F): 19.8 states/eV/cell

abc: 6.427 6.427 6.427
angles: 90.00 90.00 90.00
Space group Fm-3m (No. 225)
Asymmetric unit:
Mg 0.250 0.250 0.250 [8 per cell]
Tc 0.000 0.000 0.000 [4 per cell]
W 0.000 0.000 0.500 [4 per cell]

---

# MgTcW

A relaxed MgTcW crystal (GGA-PBE, Alexandria).

Properties
formation enthalpy at 0 K: 1.00 eV per formula unit
total energy: -7.970 eV per atom
offset from the most stable computed form: 0.50 eV/f.u.
magnetization: 0.0 μB/cell
D(E_F): 3.6 states/eV/cell

abc: 2.684 4.435 8.044
angles: 90.00 90.00 90.00
Space group Imm2 (No. 44)
Asymmetric unit:
Mg 0.000 0.000 0.000 [2 per cell]
Tc 0.000 0.000 0.664 [2 per cell]
W 0.000 0.000 0.336 [2 per cell]

---

# MgTcW2

A relaxed MgTcW2 crystal (GGA-PBE, Alexandria).

Properties
formation enthalpy at 0 K: 1.17 eV per formula unit
total energy: -9.174 eV per atom
magnetization: 0.0 μB/cell
D(E_F): 7.0 states/eV/cell

abc: 5.434 9.139 2.710
angles: 90.00 108.91 90.00
Space group C2/m (No. 12)
Asymmetric unit:
Mg 0.000 0.000 0.000 [2 per cell]
Tc 0.000 0.500 0.000 [2 per cell]
W 0.250 0.250 0.500 [4 per cell]

---

# Mg2TcW

A relaxed Mg2TcW crystal (GGA-PBE, Alexandria).

Properties
formation enthalpy at 0 K: 0.92 eV per formula unit
total energy: -6.398 eV per atom
offset from the most stable computed form: 0.46 eV/f.u.
magnetization: 0.0 μB/cell
D(E_F): 1.8 states/eV/cell

abc: 2.779 4.445 5.569
angles: 90.00 99.98 90.00
Space group Pm (No. 6)
Asymmetric unit:
Mg 0.000 0.000 0.000 [1 per cell]
Mg 0.271 0.500 0.742 [1 per cell]
Tc 0.734 0.500 0.267 [1 per cell]
W 0.566 0.000 0.470 [1 per cell]

---

# MgTcW4

A relaxed MgTcW4 crystal (GGA-PBE, Alexandria).

Properties
formation enthalpy at 0 K: 2.47 eV per formula unit
total energy: -10.217 eV per atom
magnetization: 0.0 μB/cell
D(E_F): 18.7 states/eV/cell

abc: 7.445 7.445 7.445
angles: 90.00 90.00 90.00
Space group F-43m (No. 216)
Asymmetric unit:
Mg 0.000 0.000 0.000 [4 per cell]
Tc 0.250 0.250 0.250 [4 per cell]
W 0.125 0.125 0.625 [16 per cell]

---

# MgTcW

A relaxed MgTcW crystal (GGA-PBE, Alexandria).

Properties
formation enthalpy at 0 K: 0.73 eV per formula unit
total energy: -8.063 eV per atom
offset from the most stable computed form: 0.22 eV/f.u.
magnetization: 0.0 μB/cell
D(E_F): 9.0 states/eV/cell

abc: 3.136 4.538 13.798
angles: 90.00 90.00 90.00
Space group Fmm2 (No. 42)
Asymmetric unit:
Mg 0.000 0.000 0.000 [4 per cell]
Tc 0.000 0.000 0.670 [4 per cell]
W 0.000 0.000 0.322 [4 per cell]

---

# Mg2TcW

A relaxed Mg2TcW crystal (GGA-PBE, Alexandria).

Properties
formation enthalpy at 0 K: 4.19 eV per formula unit
total energy: -5.579 eV per atom
offset from the most stable computed form: 3.73 eV/f.u.
magnetization: 0.0 μB/cell
D(E_F): 17.6 states/eV/cell

abc: 7.329 7.329 5.256
angles: 90.00 90.00 90.00
Space group I-42d (No. 122)
Asymmetric unit:
Mg 0.238 0.250 0.125 [8 per cell]
Tc 0.000 0.000 0.000 [4 per cell]
W 0.000 0.000 0.500 [4 per cell]

---

# Mg2TcW

A relaxed Mg2TcW crystal (GGA-PBE, Alexandria).

Properties
formation enthalpy at 0 K: 1.37 eV per formula unit
total energy: -6.284 eV per atom
offset from the most stable computed form: 0.91 eV/f.u.
magnetization: 0.0 μB/cell
D(E_F): 4.6 states/eV/cell

abc: 3.303 4.303 9.309
angles: 90.00 90.00 90.00
Space group Cmmm (No. 65)
Asymmetric unit:
Mg 0.000 0.000 0.244 [4 per cell]
Tc 0.000 0.500 0.000 [2 per cell]
W 0.000 0.500 0.500 [2 per cell]

---

# MgTcW2

A relaxed MgTcW2 crystal (GGA-PBE, Alexandria).

Properties
formation enthalpy at 0 K: 1.66 eV per formula unit
total energy: -9.053 eV per atom
magnetization: 0.0 μB/cell
D(E_F): 4.3 states/eV/cell

abc: 2.808 2.808 8.433
angles: 90.00 90.00 90.00
Space group P4/mmm (No. 123)
Asymmetric unit:
Mg 0.000 0.000 0.000 [1 per cell]
Tc 0.000 0.000 0.500 [1 per cell]
W 0.500 0.500 0.274 [2 per cell]

---

# Mg2TcW

A relaxed Mg2TcW crystal (GGA-PBE, Alexandria).

Properties
formation enthalpy at 0 K: 1.28 eV per formula unit
total energy: -6.307 eV per atom
offset from the most stable computed form: 0.82 eV/f.u.
magnetization: 0.0 μB/cell
D(E_F): 4.5 states/eV/cell

abc: 9.210 2.742 5.340
angles: 90.00 93.54 90.00
Space group Cm (No. 8)
Asymmetric unit:
Mg 0.000 0.000 0.000 [2 per cell]
Mg 0.245 0.000 0.759 [2 per cell]
Tc 0.001 0.500 0.482 [2 per cell]
W 0.246 0.500 0.279 [2 per cell]

---

# Mg2TcW

A relaxed Mg2TcW crystal (GGA-PBE, Alexandria).

Properties
formation enthalpy at 0 K: 1.79 eV per formula unit
total energy: -6.181 eV per atom
offset from the most stable computed form: 1.33 eV/f.u.
magnetization: 0.0 μB/cell
D(E_F): 18.1 states/eV/cell

abc: 2.8466 2.8466 28.7352
angles: 90.00 90.00 120.00
Space group R-3m (No. 166, hexagonal axes)
Asymmetric unit:
Mg 0.0000 0.0000 0.2477 [6 per cell]
Tc 0.0000 0.0000 0.5000 [3 per cell]
W 0.0000 0.0000 0.0000 [3 per cell]